1.
Below is a relaxed Rb2ZrBeF6 crystal, with properties calculated at the GGA-PBE level.

Properties
Fermi-level density of states: 0.0 states/eV/f.u.
crystal system: cubic
raw formation energy: -26.060 eV per formula unit

Cell lengths 6.799, 6.799, 6.799 Å; angles 60.00, 60.00, 60.00 degrees
Positions (direct):
Rb1 0.250 0.250 0.250
Rb2 0.750 0.750 0.750
Zr1 0.000 0.000 0.000
Be1 0.500 0.500 0.500
F1 0.212 0.212 0.788
F2 0.212 0.788 0.212
F3 0.212 0.788 0.788
F4 0.788 0.212 0.212
F5 0.788 0.212 0.788
F6 0.788 0.788 0.212

---

2.
Below is a relaxed In2FeAsH crystal, with properties calculated at the GGA-PBE level.

Properties
Fermi-level density of states: 0.2 states/eV/f.u.
crystal system: tetragonal
raw total energy: -4.077 eV per atom

Cell lengths 5.000, 5.000, 4.274 Å; angles 90.00, 90.00, 90.00 degrees
Positions (direct):
In1 0.000 0.500 0.000
In2 0.500 0.000 0.000
Fe1 0.000 0.000 0.000
As1 0.000 0.000 0.500
H1 0.500 0.500 0.500

---

3.
Below is a relaxed Sr3NpO7 crystal, with properties calculated at the GGA-PBE level.

Properties
crystal system: monoclinic
raw formation energy: -29.086 eV per formula unit

Cell lengths 5.796, 5.796, 6.511 Å; angles 112.48, 112.48, 88.62 degrees
Positions (direct):
Sr1 0.000 0.000 0.000
Sr2 0.281 0.720 0.518
Sr3 0.720 0.281 0.518
Np1 0.498 0.498 0.016
O1 0.166 0.527 0.777
O2 0.347 0.347 0.186
O3 0.454 0.834 0.245
O4 0.527 0.166 0.777
O5 0.656 0.656 0.854
O6 0.834 0.454 0.245
O7 0.992 0.992 0.623

---

4.
Below is a relaxed Ta2GaSn crystal, with properties calculated at the GGA-PBE level.

Properties
Fermi-level density of states: 3.3 states/eV/f.u.
crystal system: tetragonal
formation enthalpy at 0 K: 394 meV/atom

Cell lengths 10.476, 10.476, 10.476 Å; angles 157.98, 157.98, 31.33 degrees
Positions (direct):
Ta1 0.120 0.625 0.995
Ta2 0.375 0.370 0.495
Ta3 0.630 0.125 0.005
Ta4 0.875 0.880 0.505
Ga1 0.000 0.000 0.000
Ga2 0.750 0.250 0.500
Sn1 0.250 0.750 0.500
Sn2 0.500 0.500 0.000

---

M_tot (computed, μB per cell): 0.000 0.000 1.053 0.000